(1)
Density functional theory data (GGA-PBE) for a geometry-optimized As5Se3 structure.

abc: 7.7261 7.7261 6.9470
angles: 90.00 90.00 120.00
With the nearest neighbours (Å) after each atom.
Positions (direct):
As: 0.0000 0.1882 0.2500  2 As 2.52, 1 Se 2.82
As: 0.0000 0.8118 0.7500  2 As 2.52, 1 Se 2.82
As: 0.1882 0.0000 0.2500  2 As 2.52, 1 Se 2.82
As: 0.1882 0.1882 0.7500  2 As 2.52, 1 Se 2.82
As: 0.3333 0.6667 0.0000  6 Se 2.86
As: 0.3333 0.6667 0.5000  6 Se 2.86
As: 0.6667 0.3333 0.0000  6 Se 2.86
As: 0.6667 0.3333 0.5000  6 Se 2.86
As: 0.8118 0.0000 0.7500  2 As 2.52, 1 Se 2.82
As: 0.8118 0.8118 0.2500  2 As 2.52, 1 Se 2.82
Se: 0.0000 0.4473 0.7500  7 As 2.82-3.01
Se: 0.0000 0.5527 0.2500  7 As 2.82-3.01
Se: 0.4473 0.0000 0.7500  7 As 2.82-3.01
Se: 0.4473 0.4473 0.2500  7 As 2.82-3.01
Se: 0.5527 0.0000 0.2500  7 As 2.82-3.01
Se: 0.5527 0.5527 0.7500  7 As 2.82-3.01

Calculated values
Crystal system: hexagonal
M_tot in μB/atom: 0.000
DOS at the Fermi energy in states/eV per cell: 12.638
Final energy in eV per atom: -3.753
Formation energy (no corrections) in eV per atom: 0.46
Calculated volume in Å³/f.u.: 179.6
ρ in g/cm3: 5.7

***

(2)
Density functional theory data (GGA-PBE) for a geometry-optimized Mg2Ga4Ir structure.

abc: 7.5097 7.5097 7.5097
angles: 142.14 142.14 54.62
With the nearest neighbours (Å) after each atom.
Positions (direct):
Mg: 0.1179 0.1179 0.0000  5 Ga 2.61-2.90
Mg: 0.8821 0.8821 0.0000  5 Ga 2.61-2.90
Ga: 0.0000 0.5000 0.5000  2 Ir 2.44
Ga: 0.3137 0.3137 0.0000  1 Ir 2.49, 1 Mg 2.61
Ga: 0.5000 0.0000 0.5000  2 Ir 2.44
Ga: 0.6863 0.6863 0.0000  1 Ir 2.49, 1 Mg 2.61
Ir: 0.5000 0.5000 0.0000  6 Ga 2.44-2.49

Calculated values
Crystal system: tetragonal
M_tot in μB/atom: 0.000
DOS at the Fermi energy in states/eV per cell: 2.845
Final energy in eV per atom: -3.422
Calculated volume in Å³/f.u.: 158.4
Energy of formation in eV/atom: 0.030
ρ in g/cm3: 5.4

***

(3)
Density functional theory data (GGA-PBE) for a geometry-optimized Nb3HgI structure.

abc: 5.0242 5.0242 5.0242
angles: 90.00 90.00 90.00
With the nearest neighbours (Å) after each atom.
Positions (direct):
Nb: 0.0000 0.0000 0.5000  2 I 2.51
Nb: 0.0000 0.5000 0.0000  2 I 2.51
Nb: 0.5000 0.0000 0.0000  2 I 2.51
Hg: 0.5000 0.5000 0.5000  12 Nb 3.55
I: 0.0000 0.0000 0.0000  6 Nb 2.51

Calculated values
Crystal system: cubic
M_tot in μB/atom: 0.236
DOS at the Fermi energy in states/eV per cell: 8.260
Final energy in eV per atom: -4.809
Formation energy (no corrections) in eV per atom: 1.60
Calculated volume in Å³/f.u.: 126.8
Energy above the lowest structure with this stoichiometry in kcal/mol of atoms: 0.000
ρ in g/cm3: 7.9

***

(4)
Density functional theory data (GGA-PBE) for a geometry-optimized RbSnTe2N structure.

abc: 6.4211 6.4211 3.8540
angles: 90.00 90.00 90.00
With the nearest neighbours (Å) after each atom.
Positions (direct):
Rb: 0.0000 0.0000 0.0000  8 Te 3.74, 2 Rb 3.85
Sn: 0.5000 0.5000 0.5000  2 N 1.93
Te: 0.0000 0.5000 0.5000  2 Sn 3.21
Te: 0.5000 0.0000 0.5000  2 Sn 3.21
N: 0.5000 0.5000 0.0000  2 Sn 1.93

Calculated values
Crystal system: tetragonal
M_tot in μB/atom: 0.001
DOS at the Fermi energy in states/eV per cell: 3.884
Final energy in eV per atom: -3.612
Formation energy (no corrections) in eV per atom: 0.30
Calculated volume in Å³/f.u.: 158.9
Energy above the lowest structure with this stoichiometry in kcal/mol of atoms: 0.000
ρ in g/cm3: 4.9

***

> Among the records above, which one has the lowest ρ?

RbSnTe2N